# 1
## Ce5PuSc (PBE-GGA)

Data for a geometry-optimized Ce5PuSc structure.

The structure in extended XYZ format:
```
14
Lattice="6.483 0.986 1.423 -1.030 6.191 2.375 0.170 1.565 9.395" Properties=species:S:1:pos:R:3 pbc="T T T"
Pu 3.326 1.276 5.409
Pu 0.000 0.000 0.000
Ce 5.557 1.990 3.871
Ce 1.648 3.783 7.085
Ce 4.288 4.407 3.327
Ce 5.356 2.710 7.163
Ce 3.071 1.212 1.892
Ce 1.335 4.335 9.866
Ce 0.267 6.032 6.030
Ce 0.066 6.752 9.323
Ce 2.553 7.529 11.302
Ce 3.975 4.959 6.108
Sc 4.641 5.227 9.417
Sc 0.982 3.515 3.776
```

magnetic moment: 5.3 μB per formula unit
calculated volume: 25.7 A^3/atom
formation enthalpy at 0 K: 0.1530 eV/atom
DOS(E_F): 35.3 states/eV per cell

---

# 2
## RbPm2S3 (PBE-GGA)

Data for a geometry-optimized RbPm2S3 structure.

The structure in extended XYZ format:
```
12
Lattice="4.617 0.000 0.000 -2.309 7.738 0.000 0.000 0.000 11.002" Properties=species:S:1:pos:R:3 pbc="T T T"
Pm 0.000 0.000 0.000
Pm 2.309 0.416 2.750
Pm 0.000 7.322 8.251
Pm 0.000 0.000 5.501
S 2.309 1.783 5.043
S 0.000 5.955 5.959
S 2.309 1.783 0.458
S 0.000 0.943 8.251
S 2.309 6.795 2.750
S 0.000 5.955 10.544
Rb 2.309 3.631 8.251
Rb 0.000 4.106 2.750
```

magnetic moment: 0.0 μB per formula unit
calculated volume: 32.8 A^3/atom
energy relative to the elements, uncorrected: -1604 meV per atom
DOS(E_F): 4.7 states/eV per cell

---

# 3
## SrMn2Tc (PBE-GGA)

Data for a geometry-optimized SrMn2Tc structure.

The structure in extended XYZ format:
```
8
Lattice="-2.064 0.008 -4.199 0.722 -4.608 -0.363 -7.710 -3.676 1.176" Properties=species:S:1:pos:R:3 pbc="T T T"
Mn -3.282 -3.792 -3.607
Mn -7.498 -3.326 -2.838
Mn -6.466 -3.330 -0.738
Mn -3.643 -1.488 -3.426
Sr -0.671 -2.300 -2.281
Sr -3.829 -5.292 -0.734
Tc -5.222 -2.984 -2.652
Tc 0.000 0.000 0.000
```

magnetic moment: 0.0 μB per formula unit
calculated volume: 21.8 A^3/atom
formation enthalpy at 0 K: 1.0022 eV/atom
DOS(E_F): 11.1 states/eV per cell

---

> Which formula does entry 1 have?

Ce5PuSc